VASP calculation (PBE) on TbLuTh2 after structural relaxation.

## Properties
Excess energy over the best structure of this formula in the dataset in meV/atom: 0.0
ΔH_f (0 K) in eV per atom: 0.041
Spin magnetization in μB per atom: 0.000
Symmetry: P4/mmm (123)

abc: 5.0275 5.0095 5.0095
angles: 90.00 90.00 90.00
Closest atoms and distances in Å follow each position.
Sites, in units of the cell vectors:
Tb  0.5000  0.5000  0.5000  4 Lu 3.54, 8 Th 3.55
Th  0.0000  0.5000  0.0000  4 Th 3.54, 4 Tb 3.55, 4 Lu 3.55
Th  0.0000  0.0000  0.5000  4 Th 3.54, 4 Tb 3.55, 4 Lu 3.55
Lu  0.5000  0.0000  0.0000  4 Tb 3.54, 8 Th 3.55